This record from the Alexandria database describes an optimized crystal structure of BaAg2Se. The functional is GGA-PBE.

Calculated values
DOS at the Fermi energy: 8.1 states/eV/cell
Energy relative to the elements, uncorrected: -128 kJ/mol of formula units

Cell lengths 4.8888, 4.8888, 16.4148 Å; angles 90.00, 90.00, 120.00 degrees
Atoms (fractional coordinates):
Ba (0.0000, 0.0000, 0.0000)
Ba (0.3333, 0.6667, 0.6667)
Ba (0.6667, 0.3333, 0.3333)
Ag (0.0000, 0.0000, 0.2059)
Ag (0.0000, 0.0000, 0.7941)
Ag (0.3333, 0.6667, 0.4608)
Ag (0.3333, 0.6667, 0.8725)
Ag (0.6667, 0.3333, 0.1275)
Ag (0.6667, 0.3333, 0.5392)
Se (0.0000, 0.0000, 0.5000)
Se (0.3333, 0.6667, 0.1667)
Se (0.6667, 0.3333, 0.8333)

***

This record from the Alexandria database describes an optimized crystal structure of Ba2AgSe. The functional is GGA-PBE.

Calculated values
DOS at the Fermi energy: 10.6 states/eV/cell
Energy relative to the elements, uncorrected: -397 kJ/mol of formula units

Cell lengths 4.7231, 4.7231, 24.4783 Å; angles 90.00, 90.00, 120.00 degrees
Atoms (fractional coordinates):
Ba (0.0000, 0.0000, 0.2453)
Ba (0.0000, 0.0000, 0.7547)
Ba (0.3333, 0.6667, 0.4213)
Ba (0.3333, 0.6667, 0.9120)
Ba (0.6667, 0.3333, 0.0880)
Ba (0.6667, 0.3333, 0.5787)
Ag (0.0000, 0.0000, 0.0000)
Ag (0.3333, 0.6667, 0.6667)
Ag (0.6667, 0.3333, 0.3333)
Se (0.0000, 0.0000, 0.5000)
Se (0.3333, 0.6667, 0.1667)
Se (0.6667, 0.3333, 0.8333)